[1]
# Zn4O3, relaxed, DFT GGA-PBE
data_Zn4O3
_cell_length_a 5.7495
_cell_length_b 5.7495
_cell_length_c 5.7495
_cell_angle_alpha 90.00
_cell_angle_beta 90.00
_cell_angle_gamma 90.00
_symmetry_space_group_name_H-M 'P m -3 n'
_symmetry_Int_Tables_number 223
_symmetry_space_group_name_Hall '-P 4n 2 3'
loop_
_atom_site_label
_atom_site_fract_x
_atom_site_fract_y
_atom_site_fract_z
Zn1 0.0000 0.0000 0.0000
Zn2 0.0000 0.2500 0.5000
O1 0.0000 0.5000 0.2500
# E_form (uncorrected) (eV per atom): -1.00

[2]
# KScIr, relaxed, DFT GGA-PBE
data_KScIr
_cell_length_a 3.8032
_cell_length_b 3.8032
_cell_length_c 7.4402
_cell_angle_alpha 90.00
_cell_angle_beta 90.00
_cell_angle_gamma 120.00
_symmetry_space_group_name_H-M 'P 3 m 1'
_symmetry_Int_Tables_number 156
_symmetry_space_group_name_Hall 'P 3 -2"'
loop_
_atom_site_label
_atom_site_fract_x
_atom_site_fract_y
_atom_site_fract_z
K1 0.0000 0.0000 0.0000
Sc1 0.3333 0.6667 0.5078
Ir1 0.6667 0.3333 0.6771
# Energy of formation from the pure elements (eV per atom): 0.14
# DOS at the Fermi energy (states/eV per atom): 0.549
# Distance to the lowest polymorph of the same formula (meV per atom): 244.9

[3]
# CsLiErTe2, relaxed, DFT GGA-PBE
data_CsLiErTe2
_cell_length_a 6.7772
_cell_length_b 16.4878
_cell_length_c 6.9852
_cell_angle_alpha 90.00
_cell_angle_beta 90.00
_cell_angle_gamma 90.00
_symmetry_space_group_name_H-M 'C m m e'
_symmetry_Int_Tables_number 67
_symmetry_space_group_name_Hall '-C 2a 2'
loop_
_atom_site_label
_atom_site_fract_x
_atom_site_fract_y
_atom_site_fract_z
Cs1 0.0000 0.2500 0.2397
Li1 0.0000 0.0000 0.0000
Er1 0.2500 0.0000 0.5000
Te1 0.0000 0.1135 0.7336
# DOS at the Fermi energy (states/eV per atom): 0.551
# E_form (uncorrected) (eV per atom): -0.95

[4]
# ZnGa2Hg, relaxed, DFT GGA-PBE
data_ZnGa2Hg
_cell_length_a 4.2715
_cell_length_b 4.2715
_cell_length_c 16.1447
_cell_angle_alpha 90.00
_cell_angle_beta 90.00
_cell_angle_gamma 120.00
_symmetry_space_group_name_H-M 'R 3 m'
_symmetry_Int_Tables_number 160
_symmetry_space_group_name_Hall 'R 3 -2"'
loop_
_atom_site_label
_atom_site_fract_x
_atom_site_fract_y
_atom_site_fract_z
Zn1 0.0000 0.0000 0.0000
Ga1 0.0000 0.0000 0.3911
Ga2 0.0000 0.0000 0.6035
Hg1 0.0000 0.0000 0.8237
# Energy of formation from the pure elements (eV per atom): 0.09
# DOS at the Fermi energy (states/eV per atom): 0.311
# Distance to the lowest polymorph of the same formula (meV per atom): 19.5

[5]
# HoThRh4, relaxed, DFT GGA-PBE
data_HoThRh4
_cell_length_a 7.6085
_cell_length_b 7.6085
_cell_length_c 7.6085
_cell_angle_alpha 90.00
_cell_angle_beta 90.00
_cell_angle_gamma 90.00
_symmetry_space_group_name_H-M 'F -4 3 m'
_symmetry_Int_Tables_number 216
_symmetry_space_group_name_Hall 'F -4 2 3'
loop_
_atom_site_label
_atom_site_fract_x
_atom_site_fract_y
_atom_site_fract_z
Ho1 0.0000 0.0000 0.0000
Th1 0.2500 0.2500 0.7500
Rh1 0.1255 0.1255 0.3745
# Energy of formation from the pure elements (eV per atom): -0.76
# DOS at the Fermi energy (states/eV per atom): 0.654

[6]
# Li2Hf2F, relaxed, DFT GGA-PBE
data_Li2Hf2F
_cell_length_a 5.5498
_cell_length_b 5.5498
_cell_length_c 6.3544
_cell_angle_alpha 90.00
_cell_angle_beta 90.00
_cell_angle_gamma 90.00
_symmetry_space_group_name_H-M 'P 4/m b m'
_symmetry_Int_Tables_number 127
_symmetry_space_group_name_Hall '-P 4 2ab'
loop_
_atom_site_label
_atom_site_fract_x
_atom_site_fract_y
_atom_site_fract_z
Li1 0.2010 0.2990 0.0000
Hf1 0.1780 0.6780 0.5000
F1 0.0000 0.0000 0.0000
# DOS at the Fermi energy (states/eV per atom): 0.930
# E_form (uncorrected) (eV per atom): -0.41
# Distance to the lowest polymorph of the same formula (meV per atom): 0.0

[7]
# BaTaAs2, relaxed, DFT GGA-PBE
data_BaTaAs2
_cell_length_a 4.2623
_cell_length_b 4.2623
_cell_length_c 10.8179
_cell_angle_alpha 90.00
_cell_angle_beta 90.00
_cell_angle_gamma 90.00
_symmetry_space_group_name_H-M 'I -4 m 2'
_symmetry_Int_Tables_number 119
_symmetry_space_group_name_Hall 'I -4 -2'
loop_
_atom_site_label
_atom_site_fract_x
_atom_site_fract_y
_atom_site_fract_z
Ba1 0.0000 0.0000 0.0000
Ta1 0.0000 0.5000 0.7500
As1 0.0000 0.0000 0.5000
As2 0.0000 0.5000 0.2500
# Energy of formation from the pure elements (eV per atom): 0.42
# DOS at the Fermi energy (states/eV per atom): 0.974
# Distance to the lowest polymorph of the same formula (meV per atom): 1043.3

[8]
# HICl5, relaxed, DFT GGA-PBE
data_HICl5
_cell_length_a 10.5006
_cell_length_b 8.3314
_cell_length_c 11.6673
_cell_angle_alpha 90.00
_cell_angle_beta 95.94
_cell_angle_gamma 90.00
_symmetry_space_group_name_H-M 'C 1 c 1'
_symmetry_Int_Tables_number 9
_symmetry_space_group_name_Hall 'C -2yc'
loop_
_atom_site_label
_atom_site_fract_x
_atom_site_fract_y
_atom_site_fract_z
H1 0.0000 0.1705 0.0000
I1 0.3522 0.3053 0.1661
Cl1 0.0779 0.2307 0.9309
Cl2 0.1843 0.3566 0.2932
Cl3 0.3196 0.0173 0.1838
Cl4 0.3577 0.3987 0.6266
Cl5 0.4856 0.2599 0.0084
# Final energy (eV/atom): -2.2127
# DOS at the Fermi energy (states/eV per atom): 0.270

[9]
# PrErLuTh, relaxed, DFT GGA-PBE
data_PrErLuTh
_cell_length_a 8.0215
_cell_length_b 8.0215
_cell_length_c 8.0215
_cell_angle_alpha 90.00
_cell_angle_beta 90.00
_cell_angle_gamma 90.00
_symmetry_space_group_name_H-M 'F -4 3 m'
_symmetry_Int_Tables_number 216
_symmetry_space_group_name_Hall 'F -4 2 3'
loop_
_atom_site_label
_atom_site_fract_x
_atom_site_fract_y
_atom_site_fract_z
Pr1 0.0000 0.0000 0.0000
Er1 0.2500 0.2500 0.7500
Lu1 0.2500 0.2500 0.2500
Th1 0.0000 0.0000 0.5000
# Energy of formation from the pure elements (eV per atom): 0.11
# DOS at the Fermi energy (states/eV per atom): 1.881

[10]
# K4ScAu, relaxed, DFT GGA-PBE
data_K4ScAu
_cell_length_a 10.3596
_cell_length_b 10.3596
_cell_length_c 10.3596
_cell_angle_alpha 90.00
_cell_angle_beta 90.00
_cell_angle_gamma 90.00
_symmetry_space_group_name_H-M 'F -4 3 m'
_symmetry_Int_Tables_number 216
_symmetry_space_group_name_Hall 'F -4 2 3'
loop_
_atom_site_label
_atom_site_fract_x
_atom_site_fract_y
_atom_site_fract_z
K1 0.1239 0.1239 0.3761
Sc1 0.0000 0.0000 0.0000
Au1 0.2500 0.2500 0.7500
# Energy of formation from the pure elements (eV per atom): 0.61
# DOS at the Fermi energy (states/eV per atom): 1.209

[11]
# Pr6IrSe5, relaxed, DFT GGA-PBE
data_Pr6IrSe5
_cell_length_a 7.4398
_cell_length_b 12.8404
_cell_length_c 7.3999
_cell_angle_alpha 90.00
_cell_angle_beta 109.54
_cell_angle_gamma 90.00
_symmetry_space_group_name_H-M 'C 1 2/m 1'
_symmetry_Int_Tables_number 12
_symmetry_space_group_name_Hall '-C 2y'
loop_
_atom_site_label
_atom_site_fract_x
_atom_site_fract_y
_atom_site_fract_z
Pr1 0.2378 0.0000 0.2580
Pr2 0.2381 0.1592 0.7392
Ir1 0.0000 0.0000 0.5000
Se1 0.0000 0.1733 0.0000
Se2 0.0000 0.3340 0.5000
Se3 0.0000 0.5000 0.0000
# DOS at the Fermi energy (states/eV per atom): 0.743
# E_form (uncorrected) (eV per atom): -1.66

[12]
# Pm7PbCl12, relaxed, DFT GGA-PBE
data_Pm7PbCl12
_cell_length_a 15.1733
_cell_length_b 15.1733
_cell_length_c 9.0691
_cell_angle_alpha 90.00
_cell_angle_beta 90.00
_cell_angle_gamma 120.00
_symmetry_space_group_name_H-M 'R -3'
_symmetry_Int_Tables_number 148
_symmetry_space_group_name_Hall '-R 3'
loop_
_atom_site_label
_atom_site_fract_x
_atom_site_fract_y
_atom_site_fract_z
Pm1 0.0000 0.0000 0.0000
Pm2 0.0407 0.8667 0.2965
Pb1 0.0000 0.0000 0.5000
Cl1 0.0387 0.4577 0.1646
Cl2 0.0441 0.8585 0.8505
# DOS at the Fermi energy (states/eV per atom): 0.418
# E_form (uncorrected) (eV per atom): -1.83